A plane-wave DFT calculation with PBE was carried out for a relaxed structure of La2Pr4Sm2Ho.

Cell lengths 3.717, 9.805, 9.875 Å; angles 115.07, 90.00, 100.93 degrees
Fractional coordinates of all 9 atoms:
Pr1 0.482 0.964 0.668
Pr2 0.185 0.370 0.333
Pr3 0.815 0.630 0.667
Pr4 0.518 0.036 0.332
La1 0.665 0.330 0.999
La2 0.335 0.670 0.001
Ho1 0.000 0.000 0.000
Sm1 0.148 0.296 0.668
Sm2 0.852 0.704 0.332

Computed properties:
DFT formation energy in eV per atom: 0.01
Calculated density in g cm⁻³: 6.8
Symmetry: C2/m